This record from OQMD describes crystalline Lu4Ge6Ir7 at its relaxed geometry. The functional is PBE.

abc: 8.320 8.320 8.320
angles: 90.00 90.00 90.00
Space group Im-3m (No. 229)
Asymmetric unit:
Lu 0.250 0.250 0.250 [8 per cell]
Ge 0.000 0.000 0.315 [12 per cell]
Ir 0.000 0.000 0.000 [2 per cell]
Ir 0.000 0.250 0.500 [12 per cell]

Values from the calculation:
Crystal system   cubic
Total magnetization   0.01 μB/f.u.
Uncorrected energy   -7.23 eV per atom


This record from OQMD describes crystalline PaZnCo at its relaxed geometry. The functional is PBE.

abc: 6.122 6.122 6.122
angles: 90.00 90.00 90.00
Space group F-43m (No. 216)
Asymmetric unit:
Pa 0.000 0.000 0.000 [4 per cell]
Zn 0.000 0.000 0.500 [4 per cell]
Co 0.250 0.250 0.250 [4 per cell]

Values from the calculation:
Crystal system   cubic
Total magnetization   0.02 μB/f.u.
Formation enthalpy at 0 K   -0.08 eV per atom


This record from OQMD describes crystalline Lu2FeC at its relaxed geometry. The functional is PBE.

abc: 3.4299 3.4299 14.1180
angles: 90.00 90.00 120.00
Space group P6_3/mmc (No. 194)
Asymmetric unit:
Lu 0.3333 0.6667 0.0946 [4 per cell]
Fe 0.3333 0.6667 0.7500 [2 per cell]
C 0.0000 0.0000 0.0000 [2 per cell]

Values from the calculation:
Crystal system   hexagonal
Total magnetization   2.03 μB/f.u.
Uncorrected energy   -6.59 eV per atom


Repeat the second record exactly.
This record from OQMD describes crystalline PaZnCo at its relaxed geometry. The functional is PBE.

abc: 6.122 6.122 6.122
angles: 90.00 90.00 90.00
Space group F-43m (No. 216)
Asymmetric unit:
Pa 0.000 0.000 0.000 [4 per cell]
Zn 0.000 0.000 0.500 [4 per cell]
Co 0.250 0.250 0.250 [4 per cell]

Values from the calculation:
Crystal system   cubic
Total magnetization   0.02 μB/f.u.
Formation enthalpy at 0 K   -0.08 eV per atom